{"formula": "Mg2FeNi", "functional": "PBE-GGA", "state": "relaxed", "e_tot_ev_per_atom": -4.19, "rho_g_cm3": 4.565, "lattice_angstrom": [[3.901, 0.000, 0.000], [0.000, 3.901, 0.000], [0.000, 0.000, 7.799]], "species": ["Mg", "Mg", "Mg", "Mg", "Fe", "Fe", "Ni", "Ni"], "frac_coords": [[0.000, 0.500, 0.250], [0.000, 0.500, 0.750], [0.500, 0.000, 0.250], [0.500, 0.000, 0.750], [0.000, 0.000, 0.000], [0.500, 0.500, 0.500], [0.000, 0.000, 0.500], [0.500, 0.500, 0.000]]}


{"formula": "Mg3FeNi", "functional": "PBE-GGA", "state": "relaxed", "e_tot_ev_per_atom": -2.88, "rho_g_cm3": 2.855, "e_above_lowest_polymorph_mev_per_atom": 347.4, "lattice_angstrom": [[4.777, 0.000, 0.000], [0.000, 4.777, 0.000], [0.000, 0.000, 4.777]], "species": ["Mg", "Mg", "Mg", "Fe", "Ni"], "frac_coords": [[0.000, 0.000, 0.500], [0.000, 0.500, 0.000], [0.500, 0.000, 0.000], [0.000, 0.000, 0.000], [0.500, 0.500, 0.500]]}


{"formula": "Mg2FeNi", "functional": "PBE-GGA", "state": "relaxed", "e_tot_ev_per_atom": -4.21, "rho_g_cm3": 4.547, "lattice_angstrom": [[3.987, 0.000, 0.000], [0.000, 3.987, 0.000], [0.000, 0.000, 7.496]], "species": ["Mg", "Mg", "Mg", "Mg", "Fe", "Fe", "Ni", "Ni"], "frac_coords": [[0.000, 0.000, 0.000], [0.000, 0.500, 0.250], [0.500, 0.000, 0.750], [0.500, 0.500, 0.500], [0.000, 0.000, 0.500], [0.500, 0.500, 0.000], [0.000, 0.500, 0.750], [0.500, 0.000, 0.250]]}


{"formula": "Mg2FeNi", "functional": "PBE-GGA", "state": "relaxed", "e_tot_ev_per_atom": -4.28, "rho_g_cm3": 4.426, "lattice_angstrom": [[3.019, 0.000, 0.000], [0.000, 4.480, 0.000], [0.000, 0.000, 9.050]], "species": ["Mg", "Mg", "Mg", "Mg", "Fe", "Fe", "Ni", "Ni"], "frac_coords": [[0.000, 0.000, 0.000], [0.000, 0.500, 0.216], [0.500, 0.000, 0.716], [0.500, 0.500, 0.500], [0.000, 0.000, 0.448], [0.500, 0.500, 0.948], [0.000, 0.500, 0.748], [0.500, 0.000, 0.248]]}


| no. | ΔE_f (eV per atom) |
| --- | --- |
| 1 | 0.1687 |
| 2 | 0.9223 |
| 3 | 0.1462 |
| 4 | 0.0802 |